The following is a DFT calculation (PBE) of a geometry-optimized SrYSi structure.

Structure (POSCAR):
```
SrYSi
1.0
-0.2298 1.6996 -4.1274
3.1521 -3.0044 1.0074
-4.0627 -4.8572 -1.7738
Sr Si Y
1 1 1
direct
0.6667 0.3333 0.2462
0.0000 0.0000 0.9618
0.3333 0.6667 0.7921
```

Calculated values
- Energy relative to the elements, uncorrected: -0.173 eV/atom
- DOS(E_F): 2.44 states/eV/f.u.
- V: 113.8 Å³/cell

---

The following is a DFT calculation (PBE) of a geometry-optimized La2SiHg structure.

Structure (POSCAR):
```
La2SiHg
1.0
-0.9117 0.0694 3.7947
-0.2329 -3.8800 0.0150
6.7956 -4.2995 1.7114
Si La Hg
1 2 1
direct
0.5000 0.2500 0.2500
0.0000 0.5349 0.4660
0.0000 0.9651 0.0340
0.5000 0.7500 0.7500
```

Calculated values
- Energy relative to the elements, uncorrected: -0.547 eV/atom
- DOS(E_F): 3.11 states/eV/f.u.
- V: 109.9 Å³/cell

---

The following is a DFT calculation (PBE) of a geometry-optimized TmThHgOs structure.

Structure (POSCAR):
```
TmThHgOs
1.0
3.4015 0.0000 0.0000
0.0000 3.4015 0.0000
0.0000 0.0000 8.1595
Tm Os Hg Th
1 1 1 1
direct
0.5000 0.5000 0.3521
0.0000 0.0000 0.5598
0.0000 0.0000 0.0905
0.5000 0.5000 0.7822
```

Calculated values
- Energy of formation: -361 meV/atom
- Energy above the most stable polymorph in this dataset: 0 meV per atom
- DOS(E_F): 3.99 states/eV/f.u.
- V: 94.4 Å³/cell

---

The following is a DFT calculation (PBE) of a geometry-optimized Li2CaRh2 structure.

Structure (POSCAR):
```
Li2CaRh2
1.0
4.2900 0.0000 0.0000
0.0000 4.2900 0.0000
2.1450 2.1450 4.8223
Li Ca Rh
2 1 2
direct
0.2500 0.7500 0.5000
0.7500 0.2500 0.5000
0.0000 0.0000 0.0000
0.6280 0.6280 0.7441
0.3720 0.3720 0.2559
```

Calculated values
- Energy of formation: 15 meV/atom
- Energy above the most stable polymorph in this dataset: 80 meV per atom
- DOS(E_F): 6.03 states/eV/f.u.
- V: 88.8 Å³/cell

---

The following is a DFT calculation (PBE) of a geometry-optimized NaDy2Er structure.

Structure (POSCAR):
```
NaDy2Er
1.0
3.4841 0.0000 0.0000
1.7420 3.0173 0.0000
1.7420 1.0058 12.6164
Er Dy Na
1 2 1
direct
0.5000 0.5000 0.5000
0.9075 0.9075 0.2776
0.0925 0.0925 0.7224
0.0000 0.0000 0.0000
```

Calculated values
- Energy of formation: 157 meV/atom
- Energy above the most stable polymorph in this dataset: 26 meV per atom
- DOS(E_F): 4.79 states/eV/f.u.
- V: 132.6 Å³/cell

---

The following is a DFT calculation (PBE) of a geometry-optimized CaTl15In4 structure.

Structure (POSCAR):
```
CaTl15In4
1.0
5.5607 0.0000 0.0000
0.0000 5.5607 0.0000
0.0000 0.0000 19.2282
Tl In Ca
15 4 1
direct
0.5000 0.5000 0.3999
0.5000 0.5000 0.6001
0.5000 0.5000 0.2011
0.0000 0.5000 0.8978
0.5000 0.5000 0.0000
0.5000 0.0000 0.7006
0.5000 0.5000 0.7989
0.0000 0.5000 0.1022
0.0000 0.5000 0.5000
0.5000 0.0000 0.2994
0.5000 0.0000 0.1022
0.5000 0.0000 0.5000
0.5000 0.0000 0.8978
0.0000 0.5000 0.7006
0.0000 0.5000 0.2994
0.0000 0.0000 0.6002
0.0000 0.0000 0.1957
0.0000 0.0000 0.3998
0.0000 0.0000 0.8043
0.0000 0.0000 0.0000
```

Calculated values
- Energy of formation: -28 meV/atom
- DOS(E_F): 9.72 states/eV/f.u.
- V: 594.6 Å³/cell